Entry 1:
Computed, not measured: crystalline Hf8C2S at its relaxed geometry at the PBE level of DFT.

Space-group type = C2/m
E_tot = -0.359 hartree per atom

Cell and atoms, written as POSCAR:
```
Hf8C2S
1.0
4.918 -0.103 0.060
0.000 6.423 1.607
-0.193 0.165 6.616
C Hf S
2 8 1
Direct
0.254 0.609 0.609 C
0.746 0.391 0.391 C
0.250 0.339 0.893 Hf
0.750 0.661 0.107 Hf
0.722 0.185 0.185 Hf
0.250 0.893 0.339 Hf
0.278 0.815 0.815 Hf
0.755 0.607 0.607 Hf
0.750 0.107 0.661 Hf
0.245 0.393 0.393 Hf
0.000 0.000 0.000 S
```


Entry 2:
Computed, not measured: crystalline Sm3PbS2 at its relaxed geometry at the PBE level of DFT.

Space-group type = Cmcm
E_tot = -0.208 hartree per atom

Cell and atoms, written as POSCAR:
```
Sm3PbS2
1.0
-0.960 -2.662 3.859
7.056 1.191 -0.391
-1.089 8.224 5.402
Sm S Pb
6 4 2
Direct
0.630 0.260 0.447 Sm
0.630 0.260 0.053 Sm
0.900 0.801 0.250 Sm
0.370 0.740 0.947 Sm
0.370 0.740 0.553 Sm
0.100 0.199 0.750 Sm
0.000 0.000 0.000 S
0.515 0.029 0.750 S
0.485 0.971 0.250 S
0.000 0.000 0.500 S
0.228 0.455 0.250 Pb
0.772 0.545 0.750 Pb
```


Entry 3:
Computed, not measured: crystalline NbBS2Cl at its relaxed geometry at the PBE level of DFT.

Space-group type = P4/mmm
ΔE to the lowest computed polymorph = 0.035 eV per atom

Cell and atoms, written as POSCAR:
```
NbBS2Cl
1.0
4.260 0.000 0.000
0.000 4.260 0.000
0.000 0.000 4.154
Nb S Cl B
1 2 1 1
Direct
0.500 0.500 0.500 Nb
0.500 0.000 0.000 S
0.000 0.500 0.000 S
0.000 0.000 0.500 Cl
0.000 0.000 0.000 B
```


Entry 4:
Computed, not measured: crystalline As2H4I3 at its relaxed geometry at the PBE level of DFT.

Space-group type = C2/c
E_tot = -0.111 hartree per atom

Cell and atoms, written as POSCAR:
```
As2H4I3
1.0
-8.901 3.405 2.541
-2.860 -6.693 -2.061
-0.242 -5.363 5.328
I H As
6 8 4
Direct
0.547 0.842 0.932 I
0.953 0.068 0.158 I
0.750 0.440 0.560 I
0.047 0.932 0.842 I
0.453 0.158 0.068 I
0.250 0.560 0.440 I
0.558 0.828 0.501 H
0.768 0.862 0.608 H
0.442 0.172 0.499 H
0.058 0.501 0.828 H
0.232 0.138 0.392 H
0.268 0.608 0.862 H
0.942 0.499 0.172 H
0.732 0.392 0.138 H
0.649 0.711 0.683 As
0.149 0.683 0.711 As
0.851 0.317 0.289 As
0.351 0.289 0.317 As
```


Entry 5:
Computed, not measured: crystalline Mn3Pd6Pt at its relaxed geometry at the PBE level of DFT.

Space-group type = P2_1/m
Energy of formation = -0.20 eV per atom

Cell and atoms, written as POSCAR:
```
Mn3Pd6Pt
1.0
-0.461 3.836 -2.404
-5.953 -2.814 -3.350
-2.041 4.993 8.359
Mn Pd Pt
6 12 2
Direct
0.750 0.225 0.025 Mn
0.750 0.648 0.231 Mn
0.250 0.565 0.379 Mn
0.250 0.352 0.769 Mn
0.750 0.435 0.621 Mn
0.250 0.775 0.975 Mn
0.250 0.861 0.268 Pd
0.750 0.834 0.835 Pd
0.250 0.467 0.073 Pd
0.750 0.733 0.532 Pd
0.750 0.533 0.927 Pd
0.750 0.139 0.732 Pd
0.250 0.657 0.677 Pd
0.250 0.267 0.468 Pd
0.750 0.343 0.323 Pd
0.750 0.935 0.133 Pd
0.250 0.166 0.165 Pd
0.250 0.065 0.867 Pd
0.250 0.963 0.567 Pt
0.750 0.037 0.433 Pt
```


Entry 6:
Computed, not measured: crystalline MnCuCSeN at its relaxed geometry at the PBE level of DFT.

Space-group type = Cm
ΔE to the lowest computed polymorph = 0.066 eV per atom

Cell and atoms, written as POSCAR:
```
MnCuCSeN
1.0
-1.210 2.350 1.680
0.227 -0.773 4.163
5.238 1.829 1.214
Cu N C Mn Se
1 1 1 1 1
Direct
0.625 0.825 0.070 Cu
0.805 0.464 0.855 N
0.969 0.137 0.878 C
0.147 0.780 0.708 Mn
0.498 0.078 0.413 Se
```


Repeat the third record exactly.
Computed, not measured: crystalline NbBS2Cl at its relaxed geometry at the PBE level of DFT.

Space-group type = P4/mmm
ΔE to the lowest computed polymorph = 0.035 eV per atom

Cell and atoms, written as POSCAR:
```
NbBS2Cl
1.0
4.260 0.000 0.000
0.000 4.260 0.000
0.000 0.000 4.154
Nb S Cl B
1 2 1 1
Direct
0.500 0.500 0.500 Nb
0.500 0.000 0.000 S
0.000 0.500 0.000 S
0.000 0.000 0.500 Cl
0.000 0.000 0.000 B
```